! YSb2C2 PBE-GGA optimized geometry; values from VASP
! Total magnetization: 0.000 μB/atom
! Formation energy from raw total energies: 0.52 eV per atom
! Distance to the lowest polymorph of the same formula: 0.000 eV per atom
&SYSTEM
  ibrav = 0, nat = 10, ntyp = 3
/
ATOMIC_SPECIES
Y 88.91 Y.upf
Sb 121.76 Sb.upf
C 12.01 C.upf
ATOMIC_POSITIONS crystal
Y 0.000 0.000 0.000
Y 0.500 0.500 0.500
Sb 0.000 0.500 0.250
Sb 0.000 0.500 0.750
Sb 0.500 0.000 0.250
Sb 0.500 0.000 0.750
C 0.000 0.000 0.440
C 0.000 0.000 0.560
C 0.500 0.500 0.060
C 0.500 0.500 0.940
CELL_PARAMETERS angstrom
4.204 0.000 0.000
0.000 4.204 0.000
0.000 0.000 10.827

---

! BaLi2AgAu4 PBE-GGA optimized geometry; values from VASP
! Total magnetization: 0.000 μB/atom
! DFT total energy: -3.158 eV/atom
&SYSTEM
  ibrav = 0, nat = 8, ntyp = 4
/
ATOMIC_SPECIES
Ba 137.33 Ba.upf
Li 6.94 Li.upf
Ag 107.87 Ag.upf
Au 196.97 Au.upf
ATOMIC_POSITIONS crystal
Ba 0.000 0.000 0.000
Li 0.222 0.222 0.222
Li 0.778 0.778 0.778
Ag 0.500 0.500 0.500
Au 0.122 0.122 0.122
Au 0.405 0.405 0.405
Au 0.595 0.595 0.595
Au 0.878 0.878 0.878
CELL_PARAMETERS angstrom
2.279 1.316 9.798
-2.279 1.316 9.798
0.000 -2.631 9.798

---

! InSe2BrCl PBE-GGA optimized geometry; values from VASP
! Total magnetization: 0.637 μB/atom
! Formation energy from raw total energies: 0.28 eV per atom
! Distance to the lowest polymorph of the same formula: 0.000 eV per atom
&SYSTEM
  ibrav = 0, nat = 5, ntyp = 4
/
ATOMIC_SPECIES
In 114.82 In.upf
Se 78.96 Se.upf
Br 79.90 Br.upf
Cl 35.45 Cl.upf
ATOMIC_POSITIONS crystal
In 0.000 0.000 0.000
Se 0.000 0.500 0.000
Se 0.500 0.000 0.000
Br 0.000 0.000 0.500
Cl 0.500 0.500 0.500
CELL_PARAMETERS angstrom
5.485 0.000 0.000
0.000 5.485 0.000
0.000 0.000 5.345

---

! Ce2BiPb PBE-GGA optimized geometry; values from VASP
! Total magnetization: 0.275 μB/atom
! Distance to the lowest polymorph of the same formula: 0.095 eV per atom
&SYSTEM
  ibrav = 0, nat = 12, ntyp = 3
/
ATOMIC_SPECIES
Ce 140.12 Ce.upf
Bi 208.98 Bi.upf
Pb 207.20 Pb.upf
ATOMIC_POSITIONS crystal
Ce 0.000 0.000 0.000
Ce 0.000 0.000 0.169
Ce 0.333 0.667 0.667
Ce 0.333 0.667 0.835
Ce 0.667 0.333 0.333
Ce 0.667 0.333 0.502
Bi 0.000 0.000 0.586
Bi 0.333 0.667 0.253
Bi 0.667 0.333 0.920
Pb 0.000 0.000 0.416
Pb 0.333 0.667 0.083
Pb 0.667 0.333 0.749
CELL_PARAMETERS angstrom
4.499 0.000 0.000
-2.250 3.897 0.000
0.000 0.000 23.711

---

! K2Tl2Au PBE-GGA optimized geometry; values from VASP
! Total magnetization: 0.000 μB/atom
! Distance to the lowest polymorph of the same formula: 0.066 eV per atom
&SYSTEM
  ibrav = 0, nat = 10, ntyp = 3
/
ATOMIC_SPECIES
K 39.10 K.upf
Tl 204.38 Tl.upf
Au 196.97 Au.upf
ATOMIC_POSITIONS crystal
K 0.181 0.319 0.000
K 0.319 0.819 0.000
K 0.681 0.181 0.000
K 0.819 0.681 0.000
Tl 0.141 0.641 0.500
Tl 0.359 0.141 0.500
Tl 0.641 0.859 0.500
Tl 0.859 0.359 0.500
Au 0.000 0.000 0.500
Au 0.500 0.500 0.500
CELL_PARAMETERS angstrom
7.671 0.000 0.000
0.000 7.671 0.000
0.000 0.000 5.906

---

! Pm2Nd5Tm3 PBE-GGA optimized geometry; values from VASP
! Total magnetization: 0.000 μB/atom
! Distance to the lowest polymorph of the same formula: 0.187 eV per atom
&SYSTEM
  ibrav = 0, nat = 20, ntyp = 3
/
ATOMIC_SPECIES
Pm 145.00 Pm.upf
Nd 144.24 Nd.upf
Tm 168.93 Tm.upf
ATOMIC_POSITIONS crystal
Pm 0.121 0.098 0.219
Pm 0.379 0.598 0.977
Pm 0.621 0.402 0.023
Pm 0.879 0.902 0.781
Nd 0.003 0.250 0.753
Nd 0.127 0.404 0.531
Nd 0.250 0.750 0.500
Nd 0.373 0.904 0.278
Nd 0.497 0.250 0.247
Nd 0.503 0.750 0.753
Nd 0.627 0.096 0.722
Nd 0.750 0.250 0.500
Nd 0.873 0.596 0.469
Nd 0.997 0.750 0.247
Tm 0.119 0.754 0.872
Tm 0.250 0.250 0.000
Tm 0.381 0.254 0.635
Tm 0.619 0.746 0.365
Tm 0.750 0.750 0.000
Tm 0.881 0.246 0.128
CELL_PARAMETERS angstrom
-4.726 11.013 3.428
4.726 -11.013 3.428
4.726 11.013 -3.428

---

! LiPuZnCo PBE-GGA optimized geometry; values from VASP
! Total magnetization: 1.308 μB/atom
! DFT total energy: -6.063 eV/atom
&SYSTEM
  ibrav = 0, nat = 16, ntyp = 4
/
ATOMIC_SPECIES
Li 6.94 Li.upf
Pu 244.00 Pu.upf
Zn 65.41 Zn.upf
Co 58.93 Co.upf
ATOMIC_POSITIONS crystal
Li 0.000 0.000 0.000
Li 0.000 0.500 0.500
Li 0.500 0.000 0.500
Li 0.500 0.500 0.000
Pu 0.250 0.250 0.250
Pu 0.250 0.750 0.750
Pu 0.750 0.250 0.750
Pu 0.750 0.750 0.250
Zn 0.250 0.250 0.750
Zn 0.250 0.750 0.250
Zn 0.750 0.250 0.250
Zn 0.750 0.750 0.750
Co 0.000 0.000 0.500
Co 0.000 0.500 0.000
Co 0.500 0.000 0.000
Co 0.500 0.500 0.500
CELL_PARAMETERS angstrom
6.394 0.000 0.000
0.000 6.394 0.000
0.000 0.000 6.394

---

! Y2MgCd PBE-GGA optimized geometry; values from VASP
! Total magnetization: 0.210 μB/atom
! DFT total energy: -3.973 eV/atom
&SYSTEM
  ibrav = 0, nat = 4, ntyp = 3
/
ATOMIC_SPECIES
Y 88.91 Y.upf
Mg 24.30 Mg.upf
Cd 112.41 Cd.upf
ATOMIC_POSITIONS crystal
Y 0.000 0.000 0.000
Y 0.500 0.500 0.291
Mg 0.500 0.500 0.745
Cd 0.000 0.000 0.535
CELL_PARAMETERS angstrom
3.810 0.000 0.000
0.000 3.810 0.000
0.000 0.000 7.504

---

! BaZrNi PBE-GGA optimized geometry; values from VASP
! Total magnetization: 0.000 μB/atom
! Distance to the lowest polymorph of the same formula: 0.000 eV per atom
&SYSTEM
  ibrav = 0, nat = 6, ntyp = 3
/
ATOMIC_SPECIES
Ba 137.33 Ba.upf
Zr 91.22 Zr.upf
Ni 58.69 Ni.upf
ATOMIC_POSITIONS crystal
Ba 0.000 0.000 0.000
Ba 0.500 0.500 0.500
Zr 0.000 0.000 0.265
Zr 0.500 0.500 0.765
Ni 0.000 0.000 0.695
Ni 0.500 0.500 0.195
CELL_PARAMETERS angstrom
3.502 0.000 0.000
0.000 3.502 0.000
0.000 0.000 12.974

---

! KMn2Au PBE-GGA optimized geometry; values from VASP
! Total magnetization: 1.968 μB/atom
! Distance to the lowest polymorph of the same formula: 0.265 eV per atom
&SYSTEM
  ibrav = 0, nat = 8, ntyp = 3
/
ATOMIC_SPECIES
K 39.10 K.upf
Mn 54.94 Mn.upf
Au 196.97 Au.upf
ATOMIC_POSITIONS crystal
K 0.000 0.000 0.000
K 0.500 0.500 0.500
Mn 0.000 0.000 0.509
Mn 0.000 0.500 0.797
Mn 0.500 0.000 0.297
Mn 0.500 0.500 0.009
Au 0.000 0.500 0.222
Au 0.500 0.000 0.722
CELL_PARAMETERS angstrom
2.945 0.000 0.000
0.000 5.393 0.000
0.000 0.000 10.653

---

! U4Pb PBE-GGA optimized geometry; values from VASP
! Total magnetization: 3.135 μB/atom
! DFT total energy: -7.741 eV/atom
&SYSTEM
  ibrav = 0, nat = 5, ntyp = 2
/
ATOMIC_SPECIES
U 238.03 U.upf
Pb 207.20 Pb.upf
ATOMIC_POSITIONS crystal
U 0.000 0.000 0.000
U 0.000 0.500 0.500
U 0.500 0.000 0.500
U 0.500 0.500 0.000
Pb 0.500 0.500 0.500
CELL_PARAMETERS angstrom
5.777 0.000 0.000
0.000 5.777 0.000
0.000 0.000 5.777

---

! Li3InSn2 PBE-GGA optimized geometry; values from VASP
! Total magnetization: 0.000 μB/atom
! DFT total energy: -3.061 eV/atom
&SYSTEM
  ibrav = 0, nat = 6, ntyp = 3
/
ATOMIC_SPECIES
Li 6.94 Li.upf
In 114.82 In.upf
Sn 118.71 Sn.upf
ATOMIC_POSITIONS crystal
Li 0.000 0.000 0.000
Li 0.000 0.000 0.338
Li 0.000 0.000 0.662
In 0.500 0.500 0.500
Sn 0.500 0.500 0.174
Sn 0.500 0.500 0.826
CELL_PARAMETERS angstrom
3.354 0.000 0.000
0.000 3.354 0.000
0.000 0.000 10.671